1.
DFT (PBE) results for a relaxed PrAlZnAu2 crystal.

Cell: 6.626 6.626 6.626 Å, 142.88 142.88 53.51°
Fractional positions:
Pr 0.000 0.000 0.000
Al 0.250 0.750 0.500
Zn 0.750 0.250 0.500
Au 0.382 0.382 0.000
Au 0.618 0.618 0.000

Its space group is No. 119. Its density of states at the Fermi level is 0.64 states/eV/atom. The calculation puts the calculated volume at 21.06 Å³/atom. As for the energy: -3.8842 eV/atom. The value obtained for the formation energy is -614 meV/atom.

***

2.
DFT (PBE) results for a relaxed Pr2Al4Zn3Au crystal.

Cell: 4.298 4.298 10.800 Å, 90.00 90.00 90.00°
Fractional positions:
Pr 0.000 0.500 0.248
Pr 0.500 0.000 0.752
Al 0.000 0.000 0.000
Al 0.000 0.500 0.633
Al 0.500 0.000 0.367
Al 0.500 0.500 0.000
Zn 0.000 0.500 0.864
Zn 0.500 0.000 0.136
Zn 0.500 0.500 0.500
Au 0.000 0.000 0.500

Its space group is No. 115. Its density of states at the Fermi level is 0.51 states/eV/atom. The calculation puts the calculated volume at 19.95 Å³/atom. As for the energy: -3.6543 eV/atom. The value obtained for the formation energy is -491 meV/atom.

***

3.
DFT (PBE) results for a relaxed PrAlZn8Au2 crystal.

Cell: 4.800 4.800 10.367 Å, 94.99 94.99 65.19°
Fractional positions:
Pr 0.000 0.000 0.000
Al 0.000 0.000 0.500
Zn 0.153 0.659 0.696
Zn 0.326 0.326 0.891
Zn 0.341 0.341 0.458
Zn 0.341 0.847 0.304
Zn 0.659 0.153 0.696
Zn 0.659 0.659 0.542
Zn 0.674 0.674 0.109
Zn 0.847 0.341 0.304
Au 0.338 0.338 0.164
Au 0.662 0.662 0.836

Its space group is No. 12. Its density of states at the Fermi level is 0.17 states/eV/atom. The calculation puts the calculated volume at 17.97 Å³/atom. As for the energy: -2.2693 eV/atom. The value obtained for the formation energy is -164 meV/atom.

***

4.
DFT (PBE) results for a relaxed Pr2ZrAl4Au3 crystal.

Cell: 4.359 4.359 11.344 Å, 90.00 90.00 90.00°
Fractional positions:
Pr 0.000 0.500 0.244
Pr 0.500 0.000 0.756
Zr 0.000 0.000 0.500
Al 0.000 0.000 0.000
Al 0.000 0.500 0.652
Al 0.500 0.000 0.348
Al 0.500 0.500 0.000
Au 0.000 0.500 0.875
Au 0.500 0.000 0.125
Au 0.500 0.500 0.500

Its space group is No. 115. Its density of states at the Fermi level is 0.63 states/eV/atom. The calculation puts the calculated volume at 21.55 Å³/atom. As for the energy: -4.9149 eV/atom. The value obtained for the formation energy is -624 meV/atom.

***

5.
DFT (PBE) results for a relaxed AlPt3Au crystal.

Cell: 4.554 4.554 4.554 Å, 90.00 90.00 90.00°
Fractional positions:
Al 0.000 0.000 0.000
Pt 0.000 0.000 0.500
Pt 0.000 0.500 0.000
Pt 0.500 0.000 0.000
Au 0.500 0.500 0.500

Its space group is No. 221. Its density of states at the Fermi level is 0.11 states/eV/atom. The calculation puts the calculated volume at 18.89 Å³/atom. As for the energy: -4.6357 eV/atom. The value obtained for the formation energy is 393 meV/atom. For the energy above the lowest structure with this stoichiometry, the calculation gives 0.000 eV/atom.

***

6.
DFT (PBE) results for a relaxed AlPt2Au crystal.

Cell: 5.213 5.213 4.665 Å, 110.90 110.90 32.64°
Fractional positions:
Al 0.000 0.000 0.000
Pt 0.279 0.279 0.868
Pt 0.496 0.496 0.528
Au 0.727 0.727 0.325

Its space group is No. 8. Its density of states at the Fermi level is 0.33 states/eV/atom. The calculation puts the calculated volume at 15.87 Å³/atom. As for the energy: -5.2409 eV/atom. The value obtained for the formation energy is -466 meV/atom.